{"formula": "LaIr4Cl", "functional": "GGA-PBE", "state": "optimized geometry", "lattice": [[0.000, 3.821, 3.821], [3.821, 0.000, 3.821], [3.821, 3.821, 0.000]], "species": ["Ir", "Ir", "Ir", "Ir", "La", "Cl"], "frac_coords": [[0.375, 0.375, 0.875], [0.875, 0.375, 0.375], [0.375, 0.375, 0.375], [0.375, 0.875, 0.375], [0.750, 0.750, 0.750], [0.000, 0.000, 0.000]], "crystal_system": "cubic", "space_group": "F-43m (216)", "raw_formation_energy_mev_per_atom": 73, "density_g_cm3": 14.035}


{"formula": "La6IrCl8", "functional": "GGA-PBE", "state": "optimized geometry", "lattice": [[-6.604, 0.048, 8.682], [-3.545, -6.565, 7.957], [0.302, -1.049, 10.853]], "species": ["La", "La", "La", "La", "La", "La", "Cl", "Cl", "Cl", "Cl", "Cl", "Cl", "Cl", "Cl", "Ir"], "frac_coords": [[0.736, 0.374, 0.055], [0.626, 0.945, 0.264], [0.374, 0.055, 0.736], [0.264, 0.626, 0.945], [0.055, 0.736, 0.374], [0.945, 0.264, 0.626], [0.109, 0.447, 0.773], [0.553, 0.227, 0.891], [0.227, 0.891, 0.553], [0.773, 0.109, 0.447], [0.447, 0.773, 0.109], [0.333, 0.333, 0.333], [0.891, 0.553, 0.227], [0.667, 0.667, 0.667], [0.000, 0.000, 0.000]], "crystal_system": "trigonal", "space_group": "R-3 (148)", "raw_formation_energy_mev_per_atom": -1825, "density_g_cm3": 4.657}


{"formula": "La3Ir2Cl", "functional": "GGA-PBE", "state": "optimized geometry", "lattice": [[-2.739, -2.719, 1.798], [6.237, 0.682, 5.493], [-4.544, 7.383, 4.243]], "species": ["Cl", "Cl", "Ir", "Ir", "Ir", "Ir", "La", "La", "La", "La", "La", "La"], "frac_coords": [[0.217, 0.434, 0.250], [0.783, 0.566, 0.750], [0.000, 0.000, 0.500], [0.481, 0.961, 0.250], [0.000, 0.000, 0.000], [0.519, 0.039, 0.750], [0.387, 0.773, 0.557], [0.871, 0.742, 0.250], [0.387, 0.773, 0.943], [0.613, 0.227, 0.443], [0.613, 0.227, 0.057], [0.129, 0.258, 0.750]], "crystal_system": "orthorhombic", "space_group": "Cmcm (63)", "raw_formation_energy_mev_per_atom": -809, "density_g_cm3": 8.388}


{"formula": "LaIrCl", "functional": "GGA-PBE", "state": "optimized geometry", "lattice": [[-3.094, 0.707, 3.251], [-1.260, -1.772, -3.989], [0.589, -3.288, 1.275]], "species": ["Ir", "La", "Cl"], "frac_coords": [[0.333, 0.667, 0.167], [0.667, 0.333, 0.667], [0.000, 0.000, 0.167]], "crystal_system": "hexagonal", "space_group": "P-6m2 (187)", "raw_formation_energy_mev_per_atom": -571, "density_g_cm3": 9.524}